Entry 1:
PBE AlH3F, relaxed; total DFT energy (no corrections) = -0.08685 hartree per atom; excess energy over the best structure of this formula in the dataset = 0.766 eV/atom
1.0
3.4851 0.0000 0.0000
0.0000 3.4851 0.0000
0.0000 0.0000 3.4851
Al H F
1 3 1
direct
0.0000 0.0000 0.0000 Al
0.0000 0.5000 0.5000 H
0.5000 0.0000 0.5000 H
0.5000 0.5000 0.0000 H
0.5000 0.5000 0.5000 F



Entry 2:
PBE AlHF4, relaxed; total DFT energy (no corrections) = -0.19382 hartree per atom; excess energy over the best structure of this formula in the dataset = 0.000 eV/atom
1.0
2.3988 -6.2173 0.0000
2.3988 6.2173 0.0000
-1.4350 0.0000 4.7231
Al H F
2 2 8
direct
0.0608 0.9392 0.7500 Al
0.9392 0.0608 0.2500 Al
0.3394 0.6606 0.2500 H
0.6606 0.3394 0.7500 H
0.0884 0.4136 0.2045 F
0.1592 0.2520 0.6254 F
0.2520 0.1592 0.1254 F
0.4136 0.0884 0.7045 F
0.5864 0.9116 0.2955 F
0.7480 0.8408 0.8746 F
0.8408 0.7480 0.3746 F
0.9116 0.5864 0.7955 F



Entry 3:
PBE Al3HF7, relaxed; total DFT energy (no corrections) = -0.18866 hartree per atom
1.0
5.9316 0.0000 0.0000
-2.9658 5.1369 0.0000
0.0000 0.0000 4.6074
Al H F
3 1 7
direct
0.0078 0.5039 0.0000 Al
0.4961 0.5039 0.0000 Al
0.4961 0.9922 0.0000 Al
0.3333 0.6667 0.2031 H
0.1880 0.3759 0.7886 F
0.1880 0.8120 0.7886 F
0.3693 0.1847 0.1813 F
0.6241 0.8120 0.7886 F
0.6667 0.3333 0.7678 F
0.8153 0.1847 0.1813 F
0.8153 0.6307 0.1813 F



Entry 4:
PBE AlH3F, relaxed; total DFT energy (no corrections) = -0.11499 hartree per atom; excess energy over the best structure of this formula in the dataset = 0.000 eV/atom
1.0
3.4524 0.0000 0.0000
0.0000 3.4524 0.0000
0.0000 0.0000 3.4524
Al H F
1 3 1
direct
0.0000 0.0000 0.0000 Al
0.0000 0.0000 0.5000 H
0.0000 0.5000 0.0000 H
0.5000 0.0000 0.0000 H
0.5000 0.5000 0.5000 F



Entry 5:
PBE AlHF2, relaxed; total DFT energy (no corrections) = -0.15297 hartree per atom; excess energy over the best structure of this formula in the dataset = 0.828 eV/atom
1.0
1.4070 0.8123 6.0508
-1.4070 0.8123 6.0508
0.0000 -1.6247 6.0508
Al H F
1 1 2
direct
0.0000 0.0000 0.0000 Al
0.5000 0.5000 0.5000 H
0.4367 0.4367 0.4367 F
0.5633 0.5633 0.5633 F



Entry 6:
PBE Al3HF, relaxed; total DFT energy (no corrections) = -0.12175 hartree per atom; excess energy over the best structure of this formula in the dataset = 0.000 eV/atom
1.0
4.1113 0.0000 0.0000
0.0000 4.1113 0.0000
0.0000 0.0000 4.1113
Al H F
3 1 1
direct
0.0000 0.0000 0.5000 Al
0.0000 0.5000 0.0000 Al
0.5000 0.0000 0.0000 Al
0.0000 0.0000 0.0000 H
0.5000 0.5000 0.5000 F



Entry 7:
PBE AlHF2, relaxed; total DFT energy (no corrections) = -0.15458 hartree per atom; excess energy over the best structure of this formula in the dataset = 0.784 eV/atom
1.0
-2.6082 2.6082 4.4568
2.6082 -2.6082 4.4568
2.6082 2.6082 -4.4568
Al H F
2 2 4
direct
0.0000 0.0000 0.0000 Al
0.7500 0.2500 0.5000 Al
0.2500 0.7500 0.5000 H
0.5000 0.5000 0.0000 H
0.3750 0.1319 0.2569 F
0.8681 0.1250 0.2431 F
0.8750 0.1181 0.7431 F
0.8819 0.6250 0.7569 F



Entry 8:
PBE AlH2F, relaxed; total DFT energy (no corrections) = -0.11233 hartree per atom; excess energy over the best structure of this formula in the dataset = 1.160 eV/atom
1.0
0.0000 2.4689 2.4689
2.4689 0.0000 2.4689
2.4689 2.4689 0.0000
Al H F
1 2 1
direct
0.0000 0.0000 0.0000 Al
0.2500 0.2500 0.2500 H
0.7500 0.7500 0.7500 H
0.5000 0.5000 0.5000 F



Entry 9:
PBE AlHF2, relaxed; total DFT energy (no corrections) = -0.18340 hartree per atom; excess energy over the best structure of this formula in the dataset = 0.000 eV/atom
1.0
-1.4139 1.6850 4.8036
1.4139 -1.6850 4.8036
1.4139 1.6850 -4.8036
Al H F
1 1 2
direct
0.0000 0.0000 0.0000 Al
0.5000 0.0000 0.5000 H
0.1243 0.6243 0.5000 F
0.8757 0.3757 0.5000 F



Entry 10:
PBE AlH2F, relaxed; total DFT energy (no corrections) = -0.15498 hartree per atom; excess energy over the best structure of this formula in the dataset = 0.000 eV/atom
1.0
2.3866 -3.9921 0.0000
2.3866 3.9921 0.0000
-0.1466 0.0000 4.9314
Al H F
2 4 2
direct
0.1639 0.8361 0.0000 Al
0.8361 0.1639 0.0000 Al
0.1082 0.1082 0.7921 H
0.4989 0.8798 0.8088 H
0.8708 0.8708 0.1906 H
0.8798 0.4989 0.8088 H
0.1454 0.5030 0.2109 F
0.5030 0.1454 0.2109 F



Entry 11:
PBE Al2H2F3, relaxed; total DFT energy (no corrections) = -0.17256 hartree per atom
1.0
3.7011 0.0000 0.0000
0.0000 3.3970 0.0000
-0.0288 0.0000 6.5253
Al H F
2 2 3
direct
0.0008 0.0000 0.2803 Al
0.9992 0.0000 0.7197 Al
0.0011 0.5000 0.3341 H
0.9989 0.5000 0.6659 H
0.0000 0.0000 0.0000 F
0.4993 0.0000 0.7360 F
0.5007 0.0000 0.2640 F



Entry 12:
PBE Al2H6F, relaxed; total DFT energy (no corrections) = -0.10068 hartree per atom
1.0
0.0000 3.2469 3.2469
3.2469 0.0000 3.2469
3.2469 3.2469 0.0000
Al H F
2 6 1
direct
0.2500 0.2500 0.2500 Al
0.7500 0.7500 0.7500 Al
0.1429 0.1429 0.8571 H
0.1429 0.8571 0.1429 H
0.1429 0.8571 0.8571 H
0.8571 0.1429 0.1429 H
0.8571 0.1429 0.8571 H
0.8571 0.8571 0.1429 H
0.5000 0.5000 0.5000 F



no.,size of the total moment (μB/atom)
1,0.16
2,0.00
3,0.00
4,0.20
5,0.00
6,0.00
7,0.00
8,0.00
9,0.00
10,0.00
11,0.00
12,0.00